Density functional theory data (PBE-GGA) for a geometry-optimized Sm4Er2Tm structure.

Output
ΔH_f (0 K) ... 0.131 eV per atom
N(E_F) ... 1.54 states/eV/atom
Space group ... P2_1/m
M_tot ... 0.0 μB/f.u.

Cell lengths 6.204, 6.577, 11.494 Å; angles 90.00, 104.82, 90.00 degrees
Element x y z (fractional)
Sm1 0.650 0.509 0.285
Sm2 0.044 0.750 0.866
Sm3 0.956 0.250 0.134
Sm4 0.650 0.991 0.285
Sm5 0.851 0.250 0.550
Sm6 0.350 0.009 0.715
Sm7 0.350 0.491 0.715
Sm8 0.149 0.750 0.450
Er1 0.611 0.750 0.995
Er2 0.389 0.250 0.005
Er3 0.289 0.250 0.422
Er4 0.711 0.750 0.578
Tm1 0.153 0.750 0.165
Tm2 0.847 0.250 0.835